An optimized crystal structure of Sr2HoAu2O6, computed with GGA-PBE.

Computed properties:
The space group is No. 166. Its total magnetic moment is 1.8 μB/cell. For the energy relative to the elements, uncorrected, the calculation gives -1.5353 eV/atom. As for the total energy: -5.56 eV/atom. Its volume is 17.941 Å³/atom.

Cell lengths 6.260, 6.260, 6.847 Å; angles 62.80, 62.80, 60.00 degrees
Site moments in Bohr magnetons follow the coordinates.
Sites, in units of the cell vectors:
Au (0.415, 0.415, 0.756)  0.31
Sr (0.797, 0.797, 0.610)  0.00
O (0.236, 0.802, 0.725)  0.17
O (0.236, 0.236, 0.725)  0.17
O (0.764, 0.764, 0.275)  0.17
O (0.764, 0.198, 0.275)  0.17
O (0.802, 0.236, 0.725)  0.17
Ho (0.000, 0.000, 0.000)  0.00
O (0.198, 0.764, 0.275)  0.17
Au (0.585, 0.585, 0.244)  0.31
Sr (0.203, 0.203, 0.390)  0.00